1.
! Pr6Co2PI3 PBE-GGA relaxed; values from VASP
! Space group: No. 12
! Energy relative to the elements, uncorrected (eV/atom): -0.8091
! Spin magnetization (μB/atom): 0.0000
&SYSTEM
  ibrav = 0, nat = 12, ntyp = 4
/
ATOMIC_SPECIES
Pr 140.91 Pr.upf
Co 58.93 Co.upf
P 30.97 P.upf
I 126.90 I.upf
CELL_PARAMETERS angstrom
7.2461 -0.0009 0.0039
-3.6221 6.2759 0.0039
-1.2053 -2.0869 8.0552
ATOMIC_POSITIONS crystal
Pr 0.9379 0.5913 0.8151
Pr 0.7148 0.7148 0.1849
Pr 0.0621 0.4087 0.1849
Pr 0.5913 0.9379 0.8151
Pr 0.2852 0.2852 0.8151
Pr 0.4087 0.0621 0.1849
Co 0.3331 0.6669 0.0000
Co 0.6669 0.3331 0.0000
P 0.0000 0.0000 0.0000
I 0.1642 0.8358 0.5000
I 0.8358 0.1642 0.5000
I 0.5000 0.5000 0.5000


2.
! Rb2CoPI6 PBE-GGA relaxed; values from VASP
! Space group: No. 139
! Energy relative to the elements, uncorrected (eV/atom): -0.4587
! Spin magnetization (μB/atom): 0.2046
&SYSTEM
  ibrav = 0, nat = 10, ntyp = 4
/
ATOMIC_SPECIES
I 126.90 I.upf
P 30.97 P.upf
Co 58.93 Co.upf
Rb 85.47 Rb.upf
CELL_PARAMETERS angstrom
8.0082 0.0000 0.0000
0.0000 8.0082 0.0000
4.0041 4.0041 5.6628
ATOMIC_POSITIONS crystal
I 0.2456 0.2456 0.5089
I 0.7544 0.7544 0.4911
I 0.2479 0.2479 0.0000
I 0.7521 0.7521 0.0000
I 0.7521 0.2479 0.0000
I 0.2479 0.7521 0.0000
P 0.5000 0.5000 0.0000
Co 0.0000 0.0000 0.0000
Rb 0.7500 0.2500 0.5000
Rb 0.2500 0.7500 0.5000


3.
! CoP2SI PBE-GGA relaxed; values from VASP
! Space group: No. 123
! Energy relative to the elements, uncorrected (eV/atom): 1.8753
! Spin magnetization (μB/atom): 0.5751
&SYSTEM
  ibrav = 0, nat = 5, ntyp = 4
/
ATOMIC_SPECIES
I 126.90 I.upf
P 30.97 P.upf
S 32.06 S.upf
Co 58.93 Co.upf
CELL_PARAMETERS angstrom
-4.1159 2.4271 1.8707
-1.9626 0.3180 -4.7306
-2.2961 -4.4001 0.6569
ATOMIC_POSITIONS crystal
I 0.0000 0.0000 0.0000
P 0.0000 0.5000 0.0000
P 0.5000 0.0000 0.0000
S 0.0000 0.0000 0.5000
Co 0.5000 0.5000 0.5000


4.
! CoP2SI PBE-GGA relaxed; values from VASP
! Space group: No. 123
! Energy relative to the elements, uncorrected (eV/atom): 0.5811
! Spin magnetization (μB/atom): 0.0000
&SYSTEM
  ibrav = 0, nat = 5, ntyp = 4
/
ATOMIC_SPECIES
I 126.90 I.upf
P 30.97 P.upf
S 32.06 S.upf
Co 58.93 Co.upf
CELL_PARAMETERS angstrom
4.3367 0.0000 0.0000
0.0000 4.3367 0.0000
0.0000 0.0000 4.9548
ATOMIC_POSITIONS crystal
I 0.5000 0.5000 0.5000
P 0.0000 0.5000 0.0000
P 0.5000 0.0000 0.0000
S 0.0000 0.0000 0.5000
Co 0.0000 0.0000 0.0000